## CrCdIO6 (PBE+U)

Data for an optimized crystal structure of CrCdIO6.

Structure (POSCAR):
```
CrCdIO6
1.0
-2.108 3.118 3.574
1.337 -0.496 4.990
3.649 3.219 -0.656
O Cd Cr I
6 1 1 1
direct
0.361 0.014 0.717 O
0.625 0.361 0.717 O
0.361 0.625 0.283 O
0.625 0.014 0.283 O
0.014 0.625 0.717 O
0.014 0.361 0.283 O
0.000 0.000 0.000 Cd
0.667 0.667 0.500 Cr
0.333 0.333 0.500 I
```

Output
size of the total moment = 3.00 μB/f.u.
energy = -48.53 eV per cell